1.
La8Sm5Tl, relaxed, DFT PBE-GGA; space group = P1 (1); E_form = 0.04 eV per atom; E = -4.63 eV per atom; DOS(E_F) = 20.796 states/eV/f.u.
1.0
7.9359 1.8792 -3.7265
-2.5164 7.8805 -3.7443
-0.9315 -1.7367 8.8412
La Sm Tl
8 5 1
Cartesian
5.5519 4.7906 2.4894 La
5.8194 1.2467 1.2184 La
2.2392 3.2426 1.2162 La
5.0966 3.5437 -1.3443 La
2.0386 6.4404 2.6965 La
0.8713 1.0780 6.1480 La
-1.3171 5.3724 1.1220 La
3.6235 5.6864 -3.8835 La
7.1734 3.6256 -4.1477 Sm
0.2697 0.2212 2.5159 Sm
3.3559 0.3139 3.5271 Sm
3.8519 6.4529 -0.2972 Sm
0.0695 7.8911 -3.9335 Sm
-0.2507 3.2900 3.5523 Tl

***

2.
CsPmSiTe4, relaxed, DFT PBE-GGA; raw formation energy = -6.0 eV per formula unit; space group = P2_1/m (11); E = -4.23 eV per atom
1.0
-3.0068 -3.1312 -5.8007
3.1647 -6.6810 1.9659
-6.6251 -0.7455 8.1316
Pm Te Si Cs
2 8 2 2
Cartesian
-2.9248 -7.7562 0.6732 Pm
-3.5424 -2.8014 3.6235 Pm
-1.5937 -7.2185 7.5575 Te
-3.7541 -3.7880 0.6114 Te
-2.7131 -6.7696 3.6854 Te
-0.0141 -6.4173 0.5379 Te
-4.8735 -3.3391 -3.2607 Te
-6.4531 -4.1403 3.7589 Te
-3.3425 -6.5711 -2.3097 Te
-3.1247 -3.9865 6.6065 Te
-6.0034 -4.6387 1.3411 Si
-0.4638 -5.9189 2.9557 Si
-6.1440 -8.0861 4.7344 Cs
-0.3232 -2.4715 -0.4376 Cs

***

3.
CsBeC3, relaxed, DFT PBE-GGA; space group = Pm-3m (221); E_form = 2.85 eV per atom; E = -3.60 eV per atom; distance to the lowest polymorph of the same formula = 0.000 eV per atom; DOS(E_F) = 4.587 states/eV/f.u.
1.0
-0.2979 -3.2724 -2.3536
-1.9943 -1.9313 2.9376
-3.5029 1.3778 -1.4723
C Cs Be
3 1 1
Cartesian
-0.9971 -0.9656 1.4688 C
-0.1489 -1.6362 -1.1768 C
-1.7515 0.6889 -0.7362 C
-2.8975 -1.9129 -0.4441 Cs
0.0000 0.0000 0.0000 Be

***

4.
SbTe2RuI, relaxed, DFT PBE-GGA; raw formation energy = 6.4 eV per formula unit; space group = P4/mmm (123); E = -2.97 eV per atom; distance to the lowest polymorph of the same formula = 0.895 eV per atom; DOS(E_F) = 11.613 states/eV/f.u.
1.0
-2.0229 -5.3309 -0.8319
1.0974 0.4633 -5.6376
5.3201 -2.1528 0.8587
Ru Te I Sb
1 2 1 1
Cartesian
2.1973 -3.5102 -2.8054 Ru
-1.0114 -2.6654 -0.4159 Te
0.5487 0.2316 -2.8188 Te
2.6600 -1.0764 0.4294 I
0.0000 0.0000 0.0000 Sb

***

Copy entry 3 word for word.
CsBeC3, relaxed, DFT PBE-GGA; space group = Pm-3m (221); E_form = 2.85 eV per atom; E = -3.60 eV per atom; distance to the lowest polymorph of the same formula = 0.000 eV per atom; DOS(E_F) = 4.587 states/eV/f.u.
1.0
-0.2979 -3.2724 -2.3536
-1.9943 -1.9313 2.9376
-3.5029 1.3778 -1.4723
C Cs Be
3 1 1
Cartesian
-0.9971 -0.9656 1.4688 C
-0.1489 -1.6362 -1.1768 C
-1.7515 0.6889 -0.7362 C
-2.8975 -1.9129 -0.4441 Cs
0.0000 0.0000 0.0000 Be